# InAs2Se

Crystalline InAs2Se at its relaxed geometry (PBE, Alexandria).

Summary:
The calculation puts the uncorrected formation energy at -81 meV/atom. The space-group type is P4mm, No. 99. Its volume is 94.0 Å³/cell. The value obtained for the energy above the most stable polymorph in this dataset is 56.1 meV per atom.

Cell and atoms, written as CIF:
```
data_InAs2Se
_chemical_formula_sum 'In1 As2 Se1'
_cell_length_a 4.0753
_cell_length_b 4.0753
_cell_length_c 5.6609
_cell_angle_alpha 90.00
_cell_angle_beta 90.00
_cell_angle_gamma 90.00
_space_group_name_H-M_alt 'P 1'
_space_group_IT_number 1
loop_
_space_group_symop_operation_xyz
'x,y,z'
loop_
_atom_site_label
_atom_site_fract_x
_atom_site_fract_y
_atom_site_fract_z
In1 0.0000 0.0000 0.0000
As1 0.0000 0.0000 0.5130
As2 0.5000 0.5000 0.4962
Se1 0.5000 0.5000 0.0586
```



# InAs2Se

Crystalline InAs2Se at its relaxed geometry (PBE, Alexandria).

Summary:
The calculation puts the uncorrected formation energy at 243 meV/atom. The space-group type is Immm, No. 71. Its volume is 88.0 Å³/cell. The value obtained for the energy above the most stable polymorph in this dataset is 380.4 meV per atom.

Cell and atoms, written as CIF:
```
data_InAs2Se
_chemical_formula_sum 'In1 As2 Se1'
_cell_length_a 5.7228
_cell_length_b 5.7228
_cell_length_c 5.7228
_cell_angle_alpha 145.17
_cell_angle_beta 123.50
_cell_angle_gamma 68.11
_space_group_name_H-M_alt 'P 1'
_space_group_IT_number 1
loop_
_space_group_symop_operation_xyz
'x,y,z'
loop_
_atom_site_label
_atom_site_fract_x
_atom_site_fract_y
_atom_site_fract_z
In1 0.0000 0.0000 0.0000
As1 0.2735 0.7735 0.5000
As2 0.7265 0.2265 0.5000
Se1 0.5000 0.5000 0.0000
```



# In3AsSe3

Crystalline In3AsSe3 at its relaxed geometry (PBE, Alexandria).

Summary:
The calculation puts the uncorrected formation energy at -435 meV/atom. The space-group type is Cm, No. 8. Its volume is 217.3 Å³/cell.

Cell and atoms, written as CIF:
```
data_In3AsSe3
_chemical_formula_sum 'In3 As1 Se3'
_cell_length_a 7.3817
_cell_length_b 7.3817
_cell_length_c 7.3733
_cell_angle_alpha 99.08
_cell_angle_beta 99.08
_cell_angle_gamma 33.26
_space_group_name_H-M_alt 'P 1'
_space_group_IT_number 1
loop_
_space_group_symop_operation_xyz
'x,y,z'
loop_
_atom_site_label
_atom_site_fract_x
_atom_site_fract_y
_atom_site_fract_z
In1 0.0000 0.0000 0.0000
In2 0.5086 0.5086 0.4977
In3 0.7381 0.7381 0.2623
As1 0.9303 0.9303 0.3114
Se1 0.1894 0.1894 0.0360
Se2 0.4267 0.4267 0.8034
Se3 0.6913 0.6913 0.5820
```



no.,E_tot (eV/f.u.)
1,-15.85
2,-14.55
3,-26.37